# 1
Computed, not measured: a relaxed Pm5MgGa2 crystal at the PBE-GGA level of DFT.

Cell: 9.4942 9.4942 9.4942 Å, 131.39 131.39 71.20°
Closest atoms and distances in Å follow each position.
Atoms (fractional coordinates):
Pm (0.0000, 0.0000, 0.0000)  4 Ga 3.12
Pm (0.0273, 0.5273, 0.8397)  3 Ga 3.18-3.21, 2 Mg 3.34
Pm (0.1876, 0.0273, 0.5000)  3 Ga 3.18-3.21, 2 Mg 3.34
Pm (0.3124, 0.8124, 0.8397)  3 Ga 3.18-3.21, 2 Mg 3.34
Pm (0.4727, 0.3124, 0.5000)  3 Ga 3.18-3.21, 2 Mg 3.34
Pm (0.5000, 0.5000, 0.0000)  4 Ga 3.12
Pm (0.5273, 0.6876, 0.5000)  3 Ga 3.18-3.21, 2 Mg 3.34
Pm (0.6876, 0.1876, 0.1603)  3 Ga 3.18-3.21, 2 Mg 3.34
Pm (0.8124, 0.9727, 0.5000)  3 Ga 3.18-3.21, 2 Mg 3.34
Pm (0.9727, 0.4727, 0.1603)  3 Ga 3.18-3.21, 2 Mg 3.34
Mg (0.2500, 0.2500, 0.0000)  8 Pm 3.34
Mg (0.7500, 0.7500, 0.0000)  8 Pm 3.34
Ga (0.1191, 0.3809, 0.5000)  1 Ga 2.63
Ga (0.3809, 0.8809, 0.2618)  1 Ga 2.63
Ga (0.6191, 0.1191, 0.7382)  1 Ga 2.63
Ga (0.8809, 0.6191, 0.5000)  1 Ga 2.63

Calculated values
**Energy**: -4.1957 eV per atom
**Space-group type**: I4/mcm
**Energy relative to the elements**: -2.16 eV/f.u.
**Calculated volume**: 471.6 Å³/cell


# 2
Computed, not measured: a relaxed CsSc2BH crystal at the PBE-GGA level of DFT.

Cell: 5.3384 5.3384 3.7642 Å, 90.00 90.00 90.00°
Closest atoms and distances in Å follow each position.
Atoms (fractional coordinates):
Cs (0.0000, 0.0000, 0.0000)  2 H 1.88
Sc (0.0000, 0.5000, 0.0000)  2 Cs 2.67
Sc (0.5000, 0.0000, 0.0000)  2 Cs 2.67
B (0.5000, 0.5000, 0.5000)  8 Sc 3.27
H (0.0000, 0.0000, 0.5000)  2 Cs 1.88

Calculated values
**Energy**: -2.6557 eV per atom
**Space-group type**: P4/mmm
**Calculated volume**: 107.3 Å³/cell


# 3
Computed, not measured: a relaxed Y2AsOs crystal at the PBE-GGA level of DFT.

Cell: 4.8387 4.8387 4.8387 Å, 60.00 60.00 60.00°
Closest atoms and distances in Å follow each position.
Atoms (fractional coordinates):
Y (0.0000, 0.0000, 0.0000)  4 As 2.96, 4 Y 2.96
Y (0.2500, 0.2500, 0.2500)  4 Os 2.96, 4 Y 2.96
As (0.7500, 0.7500, 0.7500)  4 Os 2.96, 4 Y 2.96
Os (0.5000, 0.5000, 0.5000)  4 As 2.96, 4 Y 2.96

Calculated values
**Energy**: -7.2723 eV per atom
**Space-group type**: F-43m
**Energy relative to the elements**: -0.28 eV/f.u.
**Calculated volume**: 80.1 Å³/cell


Which value of calculated volume does entry 1 give? 471.6 Å³/cell


The lowest calculated volume belongs to which entry? Y2AsOs


Which of these has the lowest energy? Y2AsOs


What is the calculated volume in the third record? 80.1 Å³/cell